1.
DFT (PBE) results for RbWS3 after structural relaxation.

Calculated values
- Calculated volume: 26.6 Å³/atom
- ρ: 4.56 g/cm3
- Electronic total energy: -5.883 eV per atom
- Fermi-level density of states: 5.7 states/eV/cell

a b c (Å): 6.476 6.476 9.607
angles (deg): 100.63 100.63 42.43
Fractional positions:
Rb: 0.101 0.101 0.372
Rb: 0.899 0.899 0.628
W: 0.372 0.372 0.098
W: 0.628 0.628 0.902
S: 0.177 0.177 0.958
S: 0.372 0.372 0.333
S: 0.429 0.429 0.861
S: 0.571 0.571 0.139
S: 0.628 0.628 0.667
S: 0.823 0.823 0.042



2.
DFT (PBE) results for RbWS3 after structural relaxation.

Calculated values
- Calculated volume: 29.6 Å³/atom
- ρ: 4.09 g/cm3
- Electronic total energy: -6.117 eV per atom
- Fermi-level density of states: 0.0 states/eV/cell

a b c (Å): 6.272 6.865 7.352
angles (deg): 69.79 89.89 86.55
Fractional positions:
Rb: 0.213 0.194 0.173
Rb: 0.787 0.806 0.827
W: 0.287 0.573 0.531
W: 0.713 0.427 0.469
S: 0.001 0.364 0.706
S: 0.282 0.834 0.635
S: 0.490 0.686 0.249
S: 0.510 0.314 0.751
S: 0.718 0.166 0.365
S: 0.999 0.636 0.294



3.
DFT (PBE) results for RbWS3 after structural relaxation.

Calculated values
- Calculated volume: 27.7 Å³/atom
- ρ: 4.38 g/cm3
- Electronic total energy: -2.690 eV per atom
- Fermi-level density of states: 8.3 states/eV/cell

a b c (Å): 5.176 5.176 5.176
angles (deg): 90.00 90.00 90.00
Fractional positions:
Rb: 0.000 0.000 0.000
W: 0.500 0.500 0.500
S: 0.000 0.000 0.500
S: 0.000 0.500 0.000
S: 0.500 0.000 0.000



4.
DFT (PBE) results for RbWS3 after structural relaxation.

Calculated values
- Calculated volume: 22.0 Å³/atom
- ρ: 5.52 g/cm3
- Electronic total energy: -5.831 eV per atom
- Fermi-level density of states: 1.4 states/eV/cell

a b c (Å): 4.790 4.790 4.790
angles (deg): 90.00 90.00 90.00
Fractional positions:
Rb: 0.000 0.000 0.000
W: 0.500 0.500 0.500
S: 0.000 0.500 0.500
S: 0.500 0.000 0.500
S: 0.500 0.500 0.000